Record 1
A plane-wave DFT calculation with PBE was carried out for crystalline PrGe7Os2 at its relaxed geometry.

```
10
Lattice="4.111 0.000 0.000 0.000 7.811 -0.027 0.000 -3.470 6.998" Properties=species:S:1:pos:R:3 pbc="T T T"
Ge 2.056 2.170 3.485
Ge 2.056 1.837 6.631
Ge 2.056 -0.800 2.396
Ge 2.056 2.504 0.339
Ge 2.056 5.141 4.574
Ge 0.000 -0.899 5.396
Ge 0.000 5.239 1.574
Os 2.056 0.167 4.732
Os 2.056 4.173 2.238
Pr 0.000 0.000 0.000
```

Properties
Space group: Cmmm
Energy of formation from the pure elements in meV/atom: 127.0



Record 2
A plane-wave DFT calculation with PBE was carried out for crystalline Li4ScPa3Te8 at its relaxed geometry.

```
16
Lattice="8.418 0.000 0.000 0.000 8.741 0.223 -4.209 -4.207 5.954" Properties=species:S:1:pos:R:3 pbc="T T T"
Te 0.000 -0.026 2.956
Te 2.032 6.575 0.232
Te -2.177 -2.040 5.944
Te 6.386 6.575 0.232
Te 4.209 4.561 3.221
Te 4.209 -0.010 3.070
Te 0.000 4.544 3.107
Te 2.177 -2.040 5.944
Li 4.209 0.000 0.000
Li 0.000 0.000 0.000
Li -2.105 -2.103 2.977
Li 2.105 -2.103 2.977
Pa 4.209 4.371 0.111
Pa -2.105 2.267 3.088
Pa 2.105 2.267 3.088
Sc 0.000 4.371 0.111
```

Properties
Space group: R-3m
Formation energy without anion corrections in eV per atom: -0.9185



Record 3
A plane-wave DFT calculation with PBE was carried out for crystalline CuSiHg at its relaxed geometry.

```
3
Lattice="-1.050 3.963 0.067 -1.560 -2.581 2.778 2.839 0.714 2.258" Properties=species:S:1:pos:R:3 pbc="T T T"
Cu 2.380 0.598 1.893
Hg -0.447 -0.163 2.624
Si 1.136 2.374 2.844
```

Properties
Space group: P3m1
Energy above the most stable polymorph in this dataset in kcal/mol of atoms: 0.84
Formation energy without anion corrections in eV per atom: 0.3561



Repeat the second record exactly.
A plane-wave DFT calculation with PBE was carried out for crystalline Li4ScPa3Te8 at its relaxed geometry.

```
16
Lattice="8.418 0.000 0.000 0.000 8.741 0.223 -4.209 -4.207 5.954" Properties=species:S:1:pos:R:3 pbc="T T T"
Te 0.000 -0.026 2.956
Te 2.032 6.575 0.232
Te -2.177 -2.040 5.944
Te 6.386 6.575 0.232
Te 4.209 4.561 3.221
Te 4.209 -0.010 3.070
Te 0.000 4.544 3.107
Te 2.177 -2.040 5.944
Li 4.209 0.000 0.000
Li 0.000 0.000 0.000
Li -2.105 -2.103 2.977
Li 2.105 -2.103 2.977
Pa 4.209 4.371 0.111
Pa -2.105 2.267 3.088
Pa 2.105 2.267 3.088
Sc 0.000 4.371 0.111
```

Properties
Space group: R-3m
Formation energy without anion corrections in eV per atom: -0.9185



> What is the formula in the third record?

CuSiHg



> What is the formula in the second record?

Li4ScPa3Te8